[1]
First-principles (PBE) data for an optimized crystal structure of Na2LiOs3O12, as listed in the Alexandria database.

The structure in extended XYZ format:
```
18
Lattice="-4.554 2.356 -5.277 1.995 -0.074 -7.081 -3.055 -4.684 -4.781" Properties=species:S:1:pos:R:3 pbc="T T T"
Na -3.305 -1.415 -10.089
Na -2.309 -0.988 -7.049
Li 0.000 0.000 0.000
Os -2.277 1.178 -2.638
Os 0.998 -0.037 -3.541
Os -1.528 -2.342 -2.390
O -3.661 -3.603 -8.436
O -3.405 0.684 -13.280
O -2.454 -3.781 -12.965
O -4.565 0.641 -8.736
O -6.609 -2.240 -11.820
O -0.617 -0.824 -9.823
O -1.953 1.200 -8.702
O -2.209 -3.087 -3.859
O -3.159 1.378 -4.174
O -1.049 -3.044 -8.403
O 0.995 -0.163 -5.318
O -4.997 -1.579 -7.315
```

Output
As for the uncorrected formation energy: -1941 kJ/mol of formula units. As for the space group: No. 166.

=====

[2]
First-principles (PBE) data for an optimized crystal structure of Dy3Si6Pt20, as listed in the Alexandria database.

The structure in extended XYZ format:
```
29
Lattice="-4.437 0.906 7.482 2.103 -4.876 6.949 3.834 3.697 6.937" Properties=species:S:1:pos:R:3 pbc="T T T"
Dy 1.125 -0.204 16.026
Dy 0.375 -0.068 5.342
Dy 0.000 0.000 0.000
Si 3.163 -0.621 12.174
Si -1.663 0.349 9.194
Si 2.185 1.647 8.940
Si 0.120 2.069 12.421
Si 1.379 -2.341 8.946
Si -0.685 -1.920 12.427
Pt 2.362 1.619 11.427
Pt 2.993 -0.590 9.686
Pt -2.905 0.594 4.899
Pt -2.179 -1.089 7.298
Pt 2.510 2.421 4.542
Pt 1.555 -2.377 11.433
Pt 3.236 0.738 6.941
Pt -1.582 1.870 7.294
Pt 1.377 -3.193 4.550
Pt 1.323 1.276 2.394
Pt 0.979 2.734 7.125
Pt 0.726 -1.683 2.399
Pt -0.154 -2.880 7.133
Pt -1.531 0.313 2.582
Pt 0.575 -0.104 8.194
Pt -0.862 -1.891 9.940
Pt 0.925 -0.168 13.174
Pt -0.056 2.105 9.935
Pt -1.493 0.318 11.681
Pt 2.700 -1.917 6.945
```

Output
As for the uncorrected formation energy: -2296 kJ/mol of formula units. As for the space group: No. 225.

=====

[3]
First-principles (PBE) data for an optimized crystal structure of HAuSe, as listed in the Alexandria database.

The structure in extended XYZ format:
```
3
Lattice="-1.485 -2.325 2.641 1.352 -3.023 -1.901 2.959 0.178 1.821" Properties=species:S:1:pos:R:3 pbc="T T T"
H 1.413 -2.585 1.280
Au -0.067 -2.674 0.370
Se 0.000 0.000 0.000
```

Output
The offset from the most stable computed form is 0.3091 eV/atom. As for the space group: No. 123.

=====

[4]
First-principles (PBE) data for an optimized crystal structure of InOs2Cl, as listed in the Alexandria database.

The structure in extended XYZ format:
```
4
Lattice="4.159 -0.006 0.067 3.172 2.691 0.067 2.110 0.773 7.703" Properties=species:S:1:pos:R:3 pbc="T T T"
Cl 4.256 1.559 4.273
Os 2.248 0.823 7.352
Os 7.582 2.777 6.320
In 2.185 0.800 1.515
```

Output
The offset from the most stable computed form is 0.2279 eV/atom. As for the uncorrected formation energy: 190 kJ/mol of formula units. As for the space group: No. 8.

=====

[5]
First-principles (PBE) data for an optimized crystal structure of TbCu5Pt7, as listed in the Alexandria database.

The structure in extended XYZ format:
```
13
Lattice="-1.857 4.425 1.513 -0.982 0.164 6.684 4.900 4.360 1.626" Properties=species:S:1:pos:R:3 pbc="T T T"
Tb -1.848 4.426 1.523
Cu 0.568 4.585 8.231
Cu -0.355 6.784 8.983
Cu 3.449 6.640 5.754
Cu 2.526 8.840 6.506
Cu 1.685 6.715 7.531
Pt 0.146 4.460 3.870
Pt 1.936 4.490 5.977
Pt 1.026 7.344 4.882
Pt -0.813 6.032 6.464
Pt 0.358 2.235 2.271
Pt -0.670 3.269 6.353
Pt 2.711 5.681 3.446
```

Output
The value obtained for the formation energy is -358 meV per atom. As for the space group: No. 44.

=====

[6]
First-principles (PBE) data for an optimized crystal structure of TlGaCl4, as listed in the Alexandria database.

The structure in extended XYZ format:
```
24
Lattice="-1.990 6.846 -1.630 -9.378 -3.011 -1.197 -1.942 1.913 10.407" Properties=species:S:1:pos:R:3 pbc="T T T"
Tl -4.415 4.720 0.602
Tl -5.032 5.790 5.850
Tl -8.279 -0.042 1.729
Tl -8.896 1.029 6.978
Ga -9.262 2.772 -1.662
Ga -8.964 4.136 3.704
Ga -4.347 1.613 3.876
Ga -4.049 2.977 9.242
Cl -8.522 4.850 -1.885
Cl -1.313 1.751 0.754
Cl -2.624 0.325 4.414
Cl -7.507 4.171 2.071
Cl -10.741 2.730 -0.031
Cl -9.711 2.064 3.966
Cl -5.766 4.257 8.665
Cl -8.147 4.831 5.627
Cl -11.998 3.997 6.826
Cl -10.687 5.424 3.166
Cl -3.600 3.684 3.614
Cl -5.804 1.578 5.508
Cl -4.789 0.898 9.465
Cl -5.164 0.917 1.953
Cl -2.570 3.019 7.611
Cl -7.545 1.491 -1.085
```

Output
The offset from the most stable computed form is 0.0037 eV/atom. As for the uncorrected formation energy: -671 kJ/mol of formula units. As for the space group: No. 62.

=====

Let's list calculated density in order: 5.0; 16.0; 9.1; 10.3; 15.5; 3.5 g/cm3.
Let's list E in order: -6.547; -6.585; -3.134; -6.268; -5.542; -3.288 eV per atom.